No. 1
# PBE BeSN2F, optimized geometry
data_BeSN2F
_chemical_formula_sum 'Be1 S1 N2 F1'
_space_group_name_H-M_alt 'P 1'
_space_group_IT_number 1
_space_group_name_Hall 'P 1'
_cell_length_a 3.788
_cell_length_b 3.788
_cell_length_c 3.178
_cell_angle_alpha 90.00
_cell_angle_beta 90.00
_cell_angle_gamma 90.00
loop_
_atom_site_label
_atom_site_fract_x
_atom_site_fract_y
_atom_site_fract_z
N1 0.000 0.500 0.000
Be1 0.000 0.000 0.000
F1 0.000 0.000 0.500
N2 0.500 0.000 0.000
S1 0.500 0.500 0.500
# Energy relative to the elements, uncorrected ... 0.768 eV/atom
# Energy above the lowest structure with this stoichiometry ... 0.00 eV per formula unit

No. 2
# PBE Sr2As4PdPt3, optimized geometry
data_Sr2As4PdPt3
_chemical_formula_sum 'Sr2 As4 Pd1 Pt3'
_space_group_name_H-M_alt 'P 1'
_space_group_IT_number 1
_space_group_name_Hall 'P 1'
_cell_length_a 4.524
_cell_length_b 4.524
_cell_length_c 10.005
_cell_angle_alpha 90.00
_cell_angle_beta 90.00
_cell_angle_gamma 90.00
loop_
_atom_site_label
_atom_site_fract_x
_atom_site_fract_y
_atom_site_fract_z
As1 0.500 0.500 0.000
Pd1 0.500 0.500 0.500
Pt1 0.500 0.000 0.882
Pt2 0.000 0.500 0.118
As2 0.500 0.000 0.630
Sr1 0.000 0.500 0.750
As3 0.000 0.000 0.000
As4 0.000 0.500 0.370
Sr2 0.500 0.000 0.250
Pt3 0.000 0.000 0.500
# Energy of formation ... -0.796 eV per atom

No. 3
# PBE ZnCSe2Br, optimized geometry
data_ZnCSe2Br
_chemical_formula_sum 'Zn1 C1 Se2 Br1'
_space_group_name_H-M_alt 'P 1'
_space_group_IT_number 1
_space_group_name_Hall 'P 1'
_cell_length_a 4.150
_cell_length_b 4.150
_cell_length_c 7.853
_cell_angle_alpha 90.00
_cell_angle_beta 90.00
_cell_angle_gamma 90.00
loop_
_atom_site_label
_atom_site_fract_x
_atom_site_fract_y
_atom_site_fract_z
Zn1 0.500 0.500 0.500
Se1 0.500 0.000 0.000
C1 0.000 0.000 0.000
Br1 0.000 0.000 0.500
Se2 0.000 0.500 0.000
# Energy relative to the elements, uncorrected ... 0.963 eV/atom
# Energy above the lowest structure with this stoichiometry ... 0.00 eV per formula unit

No. 4
# PBE LaNO3, optimized geometry
data_LaNO3
_chemical_formula_sum 'La1 N1 O3'
_space_group_name_H-M_alt 'P 1'
_space_group_IT_number 1
_space_group_name_Hall 'P 1'
_cell_length_a 3.707
_cell_length_b 3.707
_cell_length_c 3.707
_cell_angle_alpha 90.00
_cell_angle_beta 90.00
_cell_angle_gamma 90.00
loop_
_atom_site_label
_atom_site_fract_x
_atom_site_fract_y
_atom_site_fract_z
O1 0.000 0.000 0.500
N1 0.000 0.000 0.000
La1 0.500 0.500 0.500
O2 0.000 0.500 0.000
O3 0.500 0.000 0.000
# Energy relative to the elements, uncorrected ... -0.837 eV/atom

No. 5
# PBE Yb6Pa, optimized geometry
data_Yb6Pa
_chemical_formula_sum 'Yb6 Pa1'
_space_group_name_H-M_alt 'P 1'
_space_group_IT_number 1
_space_group_name_Hall 'P 1'
_cell_length_a 7.347
_cell_length_b 7.347
_cell_length_c 7.347
_cell_angle_alpha 109.47
_cell_angle_beta 109.47
_cell_angle_gamma 109.47
loop_
_atom_site_label
_atom_site_fract_x
_atom_site_fract_y
_atom_site_fract_z
Yb1 0.250 0.500 0.750
Yb2 0.500 0.250 0.750
Yb3 0.750 0.500 0.250
Pa1 0.000 0.000 0.000
Yb4 0.750 0.250 0.500
Yb5 0.500 0.750 0.250
Yb6 0.250 0.750 0.500
# Energy of formation ... 1.455 eV per atom

No. 6
# PBE Cs2LaBO4, optimized geometry
data_Cs2LaBO4
_chemical_formula_sum 'Cs4 La2 B2 O8'
_space_group_name_H-M_alt 'P 1'
_space_group_IT_number 1
_space_group_name_Hall 'P 1'
_cell_length_a 5.421
_cell_length_b 6.512
_cell_length_c 12.907
_cell_angle_alpha 84.99
_cell_angle_beta 77.88
_cell_angle_gamma 65.40
loop_
_atom_site_label
_atom_site_fract_x
_atom_site_fract_y
_atom_site_fract_z
B1 0.250 0.500 0.500
O1 0.368 0.654 0.431
O2 0.978 0.654 0.569
O3 0.297 0.154 0.931
La1 0.000 0.000 0.000
O4 0.201 0.346 0.431
O5 0.453 0.346 0.569
B2 0.500 0.000 0.000
La2 0.750 0.500 0.500
Cs1 0.181 0.000 0.637
O6 0.772 0.846 0.931
Cs2 0.931 0.500 0.137
Cs3 0.819 0.000 0.363
Cs4 0.569 0.500 0.863
O7 0.549 0.154 0.069
O8 0.382 0.846 0.069
# Energy relative to the elements, uncorrected ... -2.053 eV/atom

No. 7
# PBE Sm2Dy2Y2Ho, optimized geometry
data_Sm2Dy2Y2Ho
_chemical_formula_sum 'Sm2 Dy2 Y2 Ho1'
_space_group_name_H-M_alt 'P 1'
_space_group_IT_number 1
_space_group_name_Hall 'P 1'
_cell_length_a 5.691
_cell_length_b 5.691
_cell_length_c 8.801
_cell_angle_alpha 71.13
_cell_angle_beta 71.13
_cell_angle_gamma 60.00
loop_
_atom_site_label
_atom_site_fract_x
_atom_site_fract_y
_atom_site_fract_z
Sm1 0.287 0.287 0.138
Y1 0.143 0.143 0.571
Y2 0.857 0.857 0.429
Dy1 0.570 0.570 0.291
Ho1 0.000 0.000 0.000
Dy2 0.430 0.430 0.709
Sm2 0.713 0.713 0.862
# Energy of formation ... 0.134 eV per atom

No. 8
# PBE PuBrClF, optimized geometry
data_PuBrClF
_chemical_formula_sum 'Pu1 Br1 Cl1 F1'
_space_group_name_H-M_alt 'P 1'
_space_group_IT_number 1
_space_group_name_Hall 'P 1'
_cell_length_a 4.213
_cell_length_b 4.213
_cell_length_c 7.823
_cell_angle_alpha 74.39
_cell_angle_beta 74.38
_cell_angle_gamma 60.00
loop_
_atom_site_label
_atom_site_fract_x
_atom_site_fract_y
_atom_site_fract_z
Cl1 0.512 0.796 0.180
F1 0.766 0.051 0.417
Br1 0.990 0.275 0.745
Pu1 0.110 0.395 0.385
# Energy relative to the elements, uncorrected ... -2.211 eV/atom

No. 9
# PBE KTcO3, optimized geometry
data_KTcO3
_chemical_formula_sum 'K2 Tc2 O6'
_space_group_name_H-M_alt 'P 1'
_space_group_IT_number 1
_space_group_name_Hall 'P 1'
_cell_length_a 4.011
_cell_length_b 4.011
_cell_length_c 10.633
_cell_angle_alpha 79.13
_cell_angle_beta 79.13
_cell_angle_gamma 90.00
loop_
_atom_site_label
_atom_site_fract_x
_atom_site_fract_y
_atom_site_fract_z
K1 0.000 0.000 0.000
O1 0.558 0.892 0.216
Tc1 0.694 0.194 0.612
Tc2 0.806 0.306 0.388
O2 0.108 0.442 0.784
O3 0.226 0.892 0.216
K2 0.250 0.750 0.500
O4 0.684 0.684 0.633
O5 0.108 0.774 0.784
O6 0.316 0.316 0.367
# Energy relative to the elements, uncorrected ... -0.233 eV/atom

No. 10
# PBE TlSbBr2, optimized geometry
data_TlSbBr2
_chemical_formula_sum 'Tl1 Sb1 Br2'
_space_group_name_H-M_alt 'P 1'
_space_group_IT_number 1
_space_group_name_Hall 'P 1'
_cell_length_a 6.566
_cell_length_b 6.566
_cell_length_c 6.566
_cell_angle_alpha 142.73
_cell_angle_beta 125.61
_cell_angle_gamma 67.79
loop_
_atom_site_label
_atom_site_fract_x
_atom_site_fract_y
_atom_site_fract_z
Sb1 0.750 0.250 0.500
Br1 0.934 0.934 0.000
Br2 0.566 0.566 0.000
Tl1 0.250 0.750 0.500
# Energy relative to the elements, uncorrected ... -0.359 eV/atom

No. 11
# PBE HoLuTcNi, optimized geometry
data_HoLuTcNi
_chemical_formula_sum 'Ho1 Lu1 Tc1 Ni1'
_space_group_name_H-M_alt 'P 1'
_space_group_IT_number 1
_space_group_name_Hall 'P 1'
_cell_length_a 4.745
_cell_length_b 4.745
_cell_length_c 4.745
_cell_angle_alpha 60.00
_cell_angle_beta 60.00
_cell_angle_gamma 60.00
loop_
_atom_site_label
_atom_site_fract_x
_atom_site_fract_y
_atom_site_fract_z
Ho1 0.500 0.500 0.500
Ni1 0.250 0.250 0.250
Tc1 0.750 0.750 0.750
Lu1 0.000 0.000 0.000
# Energy of formation ... -0.186 eV per atom

No. 12
# PBE HfCdIn2Ga, optimized geometry
data_HfCdIn2Ga
_chemical_formula_sum 'Hf1 Cd1 In2 Ga1'
_space_group_name_H-M_alt 'P 1'
_space_group_IT_number 1
_space_group_name_Hall 'P 1'
_cell_length_a 5.402
_cell_length_b 4.856
_cell_length_c 5.402
_cell_angle_alpha 90.00
_cell_angle_beta 90.00
_cell_angle_gamma 90.00
loop_
_atom_site_label
_atom_site_fract_x
_atom_site_fract_y
_atom_site_fract_z
Hf1 0.500 0.500 0.500
Cd1 0.000 0.000 0.000
In1 0.500 0.000 0.000
Ga1 0.000 0.500 0.000
In2 0.000 0.000 0.500
# Energy of formation ... 0.866 eV per atom

- Number 1 is which compound?
  BeSN2F